(1)
PmGeRh2: optimized geometry, PBE.

Lattice parameters (Å, degrees): 4.380 4.380 3.718 90.00 90.00 90.00
Fractional coordinates of all 4 atoms:
Pm 0.000 0.000 0.000
Ge 0.500 0.500 0.000
Rh 0.000 0.500 0.500
Rh 0.500 0.000 0.500

Output
Crystal system: tetragonal
Space group: P4/mmm, No. 123
D(E_F), states/eV/atom: 0.413
Calculated total energy, eV per atom: -6.610



(2)
Pm2Ge3Rh4: optimized geometry, PBE.

Lattice parameters (Å, degrees): 8.115 8.115 7.396 90.00 90.00 138.78
Fractional coordinates of all 18 atoms:
Pm 0.107 0.893 0.915
Pm 0.393 0.607 0.415
Pm 0.607 0.393 0.585
Pm 0.893 0.107 0.085
Ge 0.000 0.000 0.500
Ge 0.017 0.483 0.750
Ge 0.483 0.017 0.250
Ge 0.500 0.500 0.000
Ge 0.517 0.983 0.750
Ge 0.983 0.517 0.250
Rh 0.182 0.818 0.517
Rh 0.183 0.317 0.750
Rh 0.317 0.183 0.250
Rh 0.318 0.682 0.017
Rh 0.682 0.318 0.983
Rh 0.683 0.817 0.750
Rh 0.817 0.683 0.250
Rh 0.818 0.182 0.483

Output
Crystal system: orthorhombic
Space group: Cmce, No. 64
D(E_F), states/eV/atom: 0.407
Calculated total energy, eV per atom: -6.695



(3)
Pm3Ge4Rh4: optimized geometry, PBE.

Lattice parameters (Å, degrees): 12.984 12.984 12.984 161.89 161.24 26.19
Fractional coordinates of all 11 atoms:
Pm 0.000 0.000 0.000
Pm 0.355 0.855 0.500
Pm 0.645 0.145 0.500
Ge 0.196 0.696 0.500
Ge 0.451 0.451 0.000
Ge 0.549 0.549 0.000
Ge 0.804 0.304 0.500
Rh 0.099 0.599 0.500
Rh 0.250 0.250 0.000
Rh 0.750 0.750 0.000
Rh 0.901 0.401 0.500

Output
Crystal system: orthorhombic
Energy relative to the lowest polymorph listed for this composition, eV per atom: 0.0000
Space group: Immm, No. 71
D(E_F), states/eV/atom: 0.520
Calculated total energy, eV per atom: -6.555



Computed formation energy, in the same sequence as the records: -2.4, -7.5, -10.0 eV/f.u..